TeWSe: relaxed, PBE-GGA.

- V: 23.28 A^3/atom
- Energy above the most stable polymorph in this dataset: 1632 meV per atom
- Calculated total energy: -5.2171 eV/atom
- DOS at the Fermi energy: 2.92 states/eV/f.u.

Lattice parameters (Å, degrees): 6.537 6.537 6.537 90.00 90.00 90.00
Space group F-43m (No. 216)
Symmetry-distinct sites (fractional):
Te1 0.000 0.000 0.000 (multiplicity 4)
W1 0.250 0.250 0.750 (multiplicity 4)
Se1 0.250 0.250 0.250 (multiplicity 4)